Record 1
# ZnGe2Rh4

An optimized crystal structure of ZnGe2Rh4 (PBE, Alexandria).

Cell: 5.144 5.144 5.144 Å, 109.57 109.57 109.28°
Positions (direct):
Zn1 0.000 0.000 0.000
Ge1 0.000 0.500 0.500
Ge2 0.500 0.000 0.500
Rh1 0.000 0.000 0.500
Rh2 0.000 0.500 0.000
Rh3 0.500 0.000 0.000
Rh4 0.500 0.500 0.500

Properties
- space-group type = I4/mmm
- total DFT energy (no corrections) (eV per atom) = -6.061
- D(E_F) (states/eV/atom) = 0.566
- formation energy from the elements (kJ per mole of atoms) = -34.7
- energy above the lowest structure with this stoichiometry (meV/atom) = 0
- magnetization (μB/atom) = 0.000



Record 2
# TaHg2Os

An optimized crystal structure of TaHg2Os (PBE, Alexandria).

Cell: 5.030 5.030 5.030 Å, 130.26 130.26 72.99°
Positions (direct):
Ta1 0.000 0.000 0.000
Hg1 0.250 0.750 0.500
Hg2 0.500 0.500 0.000
Os1 0.750 0.250 0.500

Properties
- space-group type = I-4m2
- total DFT energy (no corrections) (eV per atom) = -5.313
- D(E_F) (states/eV/atom) = 0.865
- formation energy from the elements (kJ per mole of atoms) = 58.7
- energy above the lowest structure with this stoichiometry (meV/atom) = 369
- magnetization (μB/atom) = 0.000



Record 3
# CeZnSi2Rh5

An optimized crystal structure of CeZnSi2Rh5 (PBE, Alexandria).

Cell: 4.497 4.497 7.200 Å, 90.00 90.00 90.00°
Positions (direct):
Ce1 0.000 0.000 0.000
Zn1 0.000 0.000 0.500
Si1 0.500 0.500 0.336
Si2 0.500 0.500 0.664
Rh1 0.000 0.500 0.274
Rh2 0.000 0.500 0.726
Rh3 0.500 0.000 0.274
Rh4 0.500 0.000 0.726
Rh5 0.500 0.500 0.000

Properties
- space-group type = P4/mmm
- total DFT energy (no corrections) (eV per atom) = -6.615
- D(E_F) (states/eV/atom) = 0.647
- magnetization (μB/atom) = 0.027
- formation energy (no corrections) (eV/atom) = -0.525



Record 4
# ScMnTl2

An optimized crystal structure of ScMnTl2 (PBE, Alexandria).

Cell: 5.743 5.743 5.743 Å, 136.49 136.49 63.22°
Positions (direct):
Sc1 0.000 0.000 0.000
Mn1 0.750 0.250 0.500
Tl1 0.250 0.750 0.500
Tl2 0.500 0.500 0.000

Properties
- space-group type = I-4m2
- total DFT energy (no corrections) (eV per atom) = -4.917
- D(E_F) (states/eV/atom) = 0.914
- formation energy from the elements (kJ per mole of atoms) = 13.7
- magnetization (μB/atom) = 0.803



Record 5
# AsBrCl4

An optimized crystal structure of AsBrCl4 (PBE, Alexandria).

Cell: 8.887 8.887 8.887 Å, 135.30 135.30 65.06°
Positions (direct):
As1 0.000 0.000 0.000
Br1 0.250 0.750 0.500
Cl1 0.235 0.761 0.997
Cl2 0.239 0.236 0.474
Cl3 0.762 0.765 0.526
Cl4 0.764 0.238 0.003

Properties
- space-group type = I-4
- total DFT energy (no corrections) (eV per atom) = -2.291
- D(E_F) (states/eV/atom) = 2.455
- energy above the lowest structure with this stoichiometry (meV/atom) = 401
- magnetization (μB/atom) = 0.143
- formation energy (no corrections) (eV/atom) = -0.006



Record 6
# Er5Al4Pd

An optimized crystal structure of Er5Al4Pd (PBE, Alexandria).

Cell: 3.554 3.554 17.699 Å, 90.00 90.00 90.00°
Positions (direct):
Er1 0.000 0.000 0.000
Er2 0.000 0.000 0.202
Er3 0.000 0.000 0.406
Er4 0.000 0.000 0.594
Er5 0.000 0.000 0.798
Al1 0.500 0.500 0.101
Al2 0.500 0.500 0.303
Al3 0.500 0.500 0.697
Al4 0.500 0.500 0.899
Pd1 0.500 0.500 0.500

Properties
- space-group type = P4/mmm
- total DFT energy (no corrections) (eV per atom) = -4.802
- D(E_F) (states/eV/atom) = 0.362
- formation energy from the elements (kJ per mole of atoms) = -48.6
- magnetization (μB/atom) = 0.000



Record 7
# MnSiBr

An optimized crystal structure of MnSiBr (PBE, Alexandria).

Cell: 6.028 6.028 6.028 Å, 147.18 147.18 47.09°
Positions (direct):
Mn1 0.000 0.000 0.000
Si1 0.449 0.449 0.000
Br1 0.231 0.231 0.000

Properties
- space-group type = I4mm
- total DFT energy (no corrections) (eV per atom) = -5.325
- D(E_F) (states/eV/atom) = 0.718
- energy above the lowest structure with this stoichiometry (meV/atom) = 0
- magnetization (μB/atom) = 1.127
- formation energy (no corrections) (eV/atom) = 0.097



Record 8
# BiClO

An optimized crystal structure of BiClO (PBE, Alexandria).

Cell: 3.789 3.789 5.887 Å, 90.00 90.00 120.00°
Positions (direct):
Bi1 0.000 0.000 0.000
Cl1 0.667 0.333 0.671
O1 0.333 0.667 0.123

Properties
- space-group type = P3m1
- total DFT energy (no corrections) (eV per atom) = -4.579
- D(E_F) (states/eV/atom) = 0.000
- energy above the lowest structure with this stoichiometry (meV/atom) = 244
- magnetization (μB/atom) = 0.000
- formation energy (no corrections) (eV/atom) = -1.017